1.
# LaHfB12

A relaxed LaHfB12 crystal (PBE, Alexandria via LeMat-Bulk).

Unit cell a=4.101 b=4.101 c=8.166 alpha=90.00 beta=90.00 gamma=90.00
Sites, in units of the cell vectors:
La 0.000 0.000 0.000
Hf 0.000 0.000 0.500
B 0.198 0.500 0.255
B 0.198 0.500 0.745
B 0.500 0.198 0.255
B 0.500 0.198 0.745
B 0.500 0.500 0.102
B 0.500 0.500 0.403
B 0.500 0.500 0.597
B 0.500 0.500 0.898
B 0.500 0.802 0.255
B 0.500 0.802 0.745
B 0.802 0.500 0.255
B 0.802 0.500 0.745

Energy of formation, eV per atom: -0.2338
DOS at the Fermi energy, states/eV/atom: 0.14
V, Å³/cell: 137.3
Mass density, g/cm³: 5.4
Raw total energy, eV per atom: -7.020

=====

2.
# Ba2EuCd

A relaxed Ba2EuCd crystal (PBE, Alexandria via LeMat-Bulk).

Unit cell a=14.149 b=14.149 c=14.149 alpha=16.87 beta=16.87 gamma=16.87
Sites, in units of the cell vectors:
Ba 0.085 0.085 0.085
Ba 0.915 0.915 0.915
Eu 0.500 0.500 0.500
Cd 0.000 0.000 0.000

Energy of formation, eV per atom: 0.2073
DOS at the Fermi energy, states/eV/atom: 1.37
V, Å³/cell: 208.1
Mass density, g/cm³: 4.3
Raw total energy, eV per atom: -3.551

=====

3.
# AcRuS2

A relaxed AcRuS2 crystal (PBE, Alexandria via LeMat-Bulk).

Unit cell a=5.917 b=5.917 c=5.917 alpha=40.90 beta=40.90 gamma=40.90
Sites, in units of the cell vectors:
Ac 0.000 0.000 0.000
Ru 0.500 0.500 0.500
S 0.223 0.223 0.223
S 0.777 0.777 0.777

E_form (uncorrected), eV per atom: -0.98
DOS at the Fermi energy, states/eV/atom: 0.86
V, Å³/cell: 80.2
Mass density, g/cm³: 8.1
Raw total energy, eV per atom: -6.393

=====

4.
# Zr4CrP

A relaxed Zr4CrP crystal (PBE, Alexandria via LeMat-Bulk).

Unit cell a=5.661 b=5.661 c=5.661 alpha=60.00 beta=60.00 gamma=60.00
Sites, in units of the cell vectors:
Zr 0.124 0.124 0.124
Zr 0.124 0.124 0.629
Zr 0.124 0.629 0.124
Zr 0.629 0.124 0.124
Cr 0.750 0.750 0.750
P 0.500 0.500 0.500

Energy of formation, eV per atom: 0.6274
DOS at the Fermi energy, states/eV/atom: 1.34
V, Å³/cell: 128.3
Mass density, g/cm³: 5.8
Raw total energy, eV per atom: -7.577